GdYO2 | PBE | optimized geometry

Cell and atoms, written as extended XYZ:
```
8
Lattice="3.626 0.000 0.000 -1.813 3.141 0.000 0.000 0.000 13.121" Properties=species:S:1:pos:R:3 pbc="T T T"
O 1.813 1.047 7.609
O 1.813 1.047 12.072
O 0.000 2.094 5.512
O 0.000 2.094 1.048
Y 0.000 0.000 0.000
Y 0.000 0.000 6.560
Gd 1.813 1.047 9.841
Gd 0.000 2.094 3.280
```

Calculated values
Raw formation energy ... -2859 meV/atom
SG ... P6_3/mmc (194)
Magnetization ... 7.13 μB per formula unit